[1]
! ScIn2Te | Alexandria via LeMat-Bulk | PBE | optimized geometry; values from VASP
! DOS at the Fermi energy = 0.6536 states/eV/atom
! formation energy from raw total energies = -0.253 eV per atom
! crystal system = tetragonal
! magnetic moment = 0.00 μB/f.u.
&SYSTEM
  ibrav = 0, nat = 4, ntyp = 3
/
ATOMIC_SPECIES
Sc 44.96 Sc.upf
In 114.82 In.upf
Te 127.60 Te.upf
CELL_PARAMETERS angstrom
4.967 0.000 0.000
0.000 4.967 0.000
0.000 0.000 4.155
ATOMIC_POSITIONS angstrom
Sc 0.000 0.000 0.000
In 0.000 2.484 2.077
In 2.484 0.000 2.077
Te 2.484 2.484 0.000


[2]
! ScInTe | Alexandria via LeMat-Bulk | PBE | optimized geometry; values from VASP
! DOS at the Fermi energy = 0.8062 states/eV/atom
! formation energy from raw total energies = -0.150 eV per atom
! crystal system = cubic
! magnetic moment = 0.00 μB/f.u.
&SYSTEM
  ibrav = 0, nat = 3, ntyp = 3
/
ATOMIC_SPECIES
Sc 44.96 Sc.upf
In 114.82 In.upf
Te 127.60 Te.upf
CELL_PARAMETERS angstrom
0.000 3.571 3.571
3.571 0.000 3.571
3.571 3.571 0.000
ATOMIC_POSITIONS angstrom
Sc 0.000 0.000 0.000
In 3.571 3.571 3.571
Te 1.786 1.786 1.786


[3]
! Sc8InTe2 | Alexandria via LeMat-Bulk | PBE | optimized geometry; values from VASP
! DOS at the Fermi energy = 1.4729 states/eV/atom
! formation energy from raw total energies = -0.383 eV per atom
! crystal system = monoclinic
! magnetic moment = 0.68 μB/f.u.
&SYSTEM
  ibrav = 0, nat = 11, ntyp = 3
/
ATOMIC_SPECIES
Sc 44.96 Sc.upf
In 114.82 In.upf
Te 127.60 Te.upf
CELL_PARAMETERS angstrom
4.041 -6.481 0.000
4.041 6.481 0.000
-1.701 0.000 5.151
ATOMIC_POSITIONS angstrom
Sc 0.575 1.468 3.227
Sc 4.041 3.414 0.000
Sc 0.575 -1.468 3.227
Sc 2.954 0.000 0.997
Sc 3.428 0.000 4.154
Sc 5.807 1.468 1.924
Sc 4.041 -3.414 0.000
Sc 5.807 -1.468 1.924
In 0.000 0.000 0.000
Te 3.191 2.536 2.575
Te 3.191 -2.536 2.575


[4]
! ScIn2Te | Alexandria via LeMat-Bulk | PBE | optimized geometry; values from VASP
! DOS at the Fermi energy = 0.8801 states/eV/atom
! formation energy from raw total energies = -0.163 eV per atom
! crystal system = tetragonal
! magnetic moment = 0.00 μB/f.u.
&SYSTEM
  ibrav = 0, nat = 8, ntyp = 3
/
ATOMIC_SPECIES
Sc 44.96 Sc.upf
In 114.82 In.upf
Te 127.60 Te.upf
CELL_PARAMETERS angstrom
-4.262 4.262 3.029
4.262 -4.262 3.029
4.262 4.262 -3.029
ATOMIC_POSITIONS angstrom
Sc 0.000 0.000 0.000
Sc 0.000 4.262 1.515
In 6.393 2.085 -0.757
In 2.085 2.131 0.757
In -2.131 2.177 2.272
In 2.177 2.131 3.787
Te 4.262 0.000 1.515
Te 0.000 0.000 3.029


[5]
! ScIn2Te | Alexandria via LeMat-Bulk | PBE | optimized geometry; values from VASP
! DOS at the Fermi energy = 0.5043 states/eV/atom
! formation energy from raw total energies = -0.246 eV per atom
! crystal system = orthorhombic
! magnetic moment = 0.00 μB/f.u.
&SYSTEM
  ibrav = 0, nat = 4, ntyp = 3
/
ATOMIC_SPECIES
Sc 44.96 Sc.upf
In 114.82 In.upf
Te 127.60 Te.upf
CELL_PARAMETERS angstrom
3.080 -4.305 0.000
3.080 4.305 0.000
0.000 0.000 3.883
ATOMIC_POSITIONS angstrom
Sc 0.000 0.000 0.000
In 1.540 2.153 1.942
In 1.540 -2.153 1.942
Te 3.080 0.000 0.000


[6]
! Sc2In2Te | Alexandria via LeMat-Bulk | PBE | optimized geometry; values from VASP
! DOS at the Fermi energy = 0.6742 states/eV/atom
! energy above the lowest structure with this stoichiometry = 0 meV per atom
! formation energy from raw total energies = -0.517 eV per atom
! crystal system = tetragonal
! magnetic moment = 0.00 μB/f.u.
&SYSTEM
  ibrav = 0, nat = 10, ntyp = 3
/
ATOMIC_SPECIES
Sc 44.96 Sc.upf
In 114.82 In.upf
Te 127.60 Te.upf
CELL_PARAMETERS angstrom
7.446 0.000 0.000
0.000 7.446 0.000
0.000 0.000 4.585
ATOMIC_POSITIONS angstrom
Sc 1.175 2.548 0.000
Sc 2.548 6.271 0.000
Sc 4.898 1.175 0.000
Sc 6.271 4.898 0.000
In 1.074 4.797 2.292
In 2.649 1.074 2.292
In 4.797 6.372 2.292
In 6.372 2.649 2.292
Te 0.000 0.000 0.000
Te 3.723 3.723 0.000


- Among the records above, which one has the lowest DOS at the Fermi energy?
  number 5